# 1
{
  "formula": "ZrMn2CoH",
  "functional": "PBE",
  "state": "relaxed",
  "de_polymorph_ev_per_fu": 0.00,
  "final_energy_ev_per_cell": -37.50,
  "spacegroup": "P4/mmm (123)",
  "lattice_angstrom": [[-2.155, -2.625, 1.505], [1.891, -2.611, -1.846], [2.740, -0.354, 3.306]],
  "species": ["H", "Mn", "Mn", "Co", "Zr"],
  "frac_coords": [[0.000, 0.000, 0.000], [0.000, 0.500, 0.000], [0.500, 0.000, 0.000], [0.500, 0.500, 0.500], [0.000, 0.000, 0.500]]
}

***

# 2
{
  "formula": "ZrMnCo2H",
  "functional": "PBE",
  "state": "relaxed",
  "final_energy_ev_per_cell": -35.88,
  "spacegroup": "P4/mmm (123)",
  "lattice_angstrom": [[3.905, 0.000, 0.000], [0.000, 3.905, 0.000], [0.000, 0.000, 3.689]],
  "species": ["H", "Mn", "Co", "Co", "Zr"],
  "frac_coords": [[0.000, 0.000, 0.000], [0.000, 0.000, 0.500], [0.000, 0.500, 0.000], [0.500, 0.000, 0.000], [0.500, 0.500, 0.500]]
}

***

# 3
{
  "formula": "CoMo3H4",
  "functional": "PBE",
  "state": "relaxed",
  "final_energy_ev_per_cell": -52.87,
  "spacegroup": "Pm-3m (221)",
  "lattice_angstrom": [[-3.489, -1.594, -1.246], [0.964, -3.493, 1.769], [-1.778, 1.232, 3.403]],
  "species": ["Co", "Mo", "Mo", "Mo", "H", "H", "H", "H"],
  "frac_coords": [[0.000, 0.000, 0.000], [0.000, 0.500, 0.500], [0.500, 0.000, 0.500], [0.500, 0.500, 0.000], [0.500, 0.000, 0.000], [0.000, 0.500, 0.000], [0.000, 0.000, 0.500], [0.500, 0.500, 0.500]]
}

***

# 4
{
  "formula": "Co3MoH",
  "functional": "PBE",
  "state": "relaxed",
  "de_polymorph_ev_per_fu": 10.33,
  "final_energy_ev_per_cell": -25.09,
  "spacegroup": "Pm-3m (221)",
  "lattice_angstrom": [[4.444, 0.000, 0.000], [0.000, 4.444, 0.000], [0.000, 0.000, 4.444]],
  "species": ["H", "Mo", "Co", "Co", "Co"],
  "frac_coords": [[0.500, 0.500, 0.500], [0.000, 0.000, 0.000], [0.000, 0.500, 0.000], [0.000, 0.000, 0.500], [0.500, 0.000, 0.000]]
}

***

# 5
{
  "formula": "CoMoH3",
  "functional": "PBE",
  "state": "relaxed",
  "de_polymorph_ev_per_fu": 2.10,
  "final_energy_ev_per_cell": -25.25,
  "spacegroup": "Pm-3m (221)",
  "lattice_angstrom": [[3.434, 0.000, 0.000], [0.000, 3.434, 0.000], [0.000, 0.000, 3.434]],
  "species": ["H", "H", "H", "Mo", "Co"],
  "frac_coords": [[0.000, 0.500, 0.000], [0.000, 0.000, 0.500], [0.500, 0.000, 0.000], [0.000, 0.000, 0.000], [0.500, 0.500, 0.500]]
}

***

# 6
{
  "formula": "Co2MoH2",
  "functional": "PBE",
  "state": "relaxed",
  "de_polymorph_ev_per_fu": 0.00,
  "final_energy_ev_per_cell": -62.53,
  "spacegroup": "C2/c (15)",
  "lattice_angstrom": [[4.850, -0.087, -0.125], [-2.328, 4.302, 0.068], [-2.328, -1.446, 4.052]],
  "species": ["Co", "Co", "Co", "Co", "Mo", "Mo", "H", "H", "H", "H"],
  "frac_coords": [[0.000, 0.500, 0.500], [0.000, 0.000, 0.500], [0.500, 0.500, 0.500], [0.500, 0.500, 0.000], [0.250, 0.850, 0.150], [0.750, 0.150, 0.850], [0.251, 0.237, 0.124], [0.749, 0.763, 0.876], [0.249, 0.876, 0.763], [0.751, 0.124, 0.237]]
}

***

# 7
{
  "formula": "Co3MoH4",
  "functional": "PBE",
  "state": "relaxed",
  "final_energy_ev_per_cell": -45.19,
  "spacegroup": "I4/mmm (139)",
  "lattice_angstrom": [[3.483, 0.003, -1.544], [-0.688, 3.414, -1.544], [-0.024, -0.029, 4.647]],
  "species": ["Co", "Co", "Co", "Mo", "H", "H", "H", "H"],
  "frac_coords": [[0.500, 0.500, 0.000], [0.750, 0.250, 0.500], [0.250, 0.750, 0.500], [0.000, 0.000, 0.000], [0.000, 0.500, 0.000], [0.500, 0.000, 0.000], [0.265, 0.265, 0.530], [0.735, 0.735, 0.470]]
}

***

# 8
{
  "formula": "Co3MoH",
  "functional": "PBE",
  "state": "relaxed",
  "de_polymorph_ev_per_fu": 0.00,
  "final_energy_ev_per_cell": -35.42,
  "spacegroup": "Pm-3m (221)",
  "lattice_angstrom": [[3.637, 0.000, 0.000], [0.000, 3.637, 0.000], [0.000, 0.000, 3.637]],
  "species": ["H", "Mo", "Co", "Co", "Co"],
  "frac_coords": [[0.000, 0.000, 0.000], [0.500, 0.500, 0.500], [0.000, 0.500, 0.000], [0.000, 0.000, 0.500], [0.500, 0.000, 0.000]]
}

***

# 9
{
  "formula": "Co2MoH3",
  "functional": "PBE",
  "state": "relaxed",
  "final_energy_ev_per_cell": -139.36,
  "spacegroup": "P2_1/c (14)",
  "lattice_angstrom": [[-3.626, 1.221, 0.277], [-1.397, -4.687, 2.365], [1.649, 3.225, 7.365]],
  "species": ["Co", "Co", "Co", "Co", "Co", "Co", "Co", "Co", "Mo", "Mo", "Mo", "Mo", "H", "H", "H", "H", "H", "H", "H", "H", "H", "H", "H", "H"],
  "frac_coords": [[0.250, 0.870, 0.752], [0.250, 0.370, 0.748], [0.250, 0.878, 0.410], [0.250, 0.378, 0.090], [0.750, 0.622, 0.910], [0.750, 0.122, 0.590], [0.750, 0.630, 0.252], [0.750, 0.130, 0.248], [0.250, 0.877, 0.075], [0.250, 0.377, 0.425], [0.750, 0.623, 0.575], [0.750, 0.123, 0.925], [0.250, 0.621, 0.611], [0.250, 0.121, 0.889], [0.252, 0.593, 0.913], [0.252, 0.093, 0.587], [0.249, 0.616, 0.245], [0.249, 0.116, 0.255], [0.751, 0.884, 0.745], [0.751, 0.384, 0.755], [0.748, 0.907, 0.413], [0.748, 0.407, 0.087], [0.750, 0.879, 0.111], [0.750, 0.379, 0.389]]
}

***

# 10
{
  "formula": "CoMo2H",
  "functional": "PBE",
  "state": "relaxed",
  "de_polymorph_ev_per_fu": 2.32,
  "final_energy_ev_per_cell": -28.67,
  "spacegroup": "R-3m (166)",
  "lattice_angstrom": [[3.425, 0.000, 0.000], [1.712, 2.966, 0.000], [1.712, 0.989, 5.930]],
  "species": ["H", "Mo", "Mo", "Co"],
  "frac_coords": [[0.000, 0.000, 0.000], [0.097, 0.097, 0.709], [0.903, 0.903, 0.291], [0.500, 0.500, 0.500]]
}

***

# 11
{
  "formula": "CoMo2H",
  "functional": "PBE",
  "state": "relaxed",
  "de_polymorph_ev_per_fu": 1.09,
  "final_energy_ev_per_cell": -29.89,
  "spacegroup": "Fm-3m (225)",
  "lattice_angstrom": [[-3.137, 0.018, 2.583], [-1.998, 3.459, 0.745], [-3.782, 0.505, -1.400]],
  "species": ["H", "Mo", "Mo", "Co"],
  "frac_coords": [[0.000, 0.000, 0.000], [0.250, 0.250, 0.250], [0.750, 0.750, 0.750], [0.500, 0.500, 0.500]]
}

***

# 12
{
  "formula": "Co5Mo3H12",
  "functional": "PBE",
  "state": "relaxed",
  "final_energy_ev_per_cell": -420.31,
  "spacegroup": "Ia-3d (230)",
  "lattice_angstrom": [[8.962, 0.000, 0.000], [-2.987, 8.449, 0.000], [-2.987, -4.225, 7.317]],
  "species": ["Mo", "Mo", "Mo", "Mo", "Mo", "Mo", "Mo", "Mo", "Mo", "Mo", "Mo", "Mo", "Co", "Co", "Co", "Co", "Co", "Co", "Co", "Co", "Co", "Co", "Co", "Co", "Co", "Co", "Co", "Co", "Co", "Co", "Co", "Co", "H", "H", "H", "H", "H", "H", "H", "H", "H", "H", "H", "H", "H", "H", "H", "H", "H", "H", "H", "H", "H", "H", "H", "H", "H", "H", "H", "H", "H", "H", "H", "H", "H", "H", "H", "H", "H", "H", "H", "H", "H", "H", "H", "H", "H", "H", "H", "H"],
  "frac_coords": [[0.750, 0.375, 0.125], [0.875, 0.750, 0.125], [0.375, 0.750, 0.625], [0.250, 0.125, 0.375], [0.875, 0.125, 0.250], [0.375, 0.625, 0.250], [0.625, 0.375, 0.750], [0.125, 0.875, 0.750], [0.750, 0.875, 0.625], [0.625, 0.250, 0.375], [0.125, 0.250, 0.875], [0.250, 0.625, 0.875], [0.125, 0.375, 0.250], [0.000, 0.500, 0.000], [0.000, 0.000, 0.000], [0.375, 0.250, 0.125], [0.500, 0.000, 0.500], [0.500, 0.500, 0.000], [0.125, 0.750, 0.375], [0.750, 0.125, 0.875], [0.750, 0.625, 0.375], [0.375, 0.125, 0.750], [0.625, 0.875, 0.250], [0.500, 0.500, 0.500], [0.500, 0.000, 0.000], [0.000, 0.000, 0.500], [0.250, 0.375, 0.625], [0.250, 0.875, 0.125], [0.000, 0.500, 0.500], [0.875, 0.250, 0.625], [0.625, 0.750, 0.875], [0.875, 0.625, 0.750], [0.711, 0.126, 0.043], [0.332, 0.543, 0.417], [0.957, 0.374, 0.289], [0.543, 0.211, 0.126], [0.585, 0.711, 0.668], [0.957, 0.583, 0.168], [0.332, 0.789, 0.415], [0.083, 0.915, 0.126], [0.583, 0.957, 0.668], [0.711, 0.585, 0.168], [0.789, 0.457, 0.374], [0.832, 0.917, 0.043], [0.126, 0.711, 0.543], [0.374, 0.417, 0.085], [0.085, 0.917, 0.374], [0.415, 0.126, 0.583], [0.085, 0.168, 0.211], [0.457, 0.668, 0.083], [0.832, 0.915, 0.289], [0.126, 0.415, 0.083], [0.374, 0.957, 0.789], [0.583, 0.626, 0.415], [0.917, 0.832, 0.543], [0.789, 0.332, 0.915], [0.417, 0.374, 0.585], [0.083, 0.168, 0.457], [0.211, 0.668, 0.085], [0.168, 0.085, 0.711], [0.626, 0.043, 0.211], [0.874, 0.585, 0.917], [0.543, 0.332, 0.917], [0.585, 0.874, 0.417], [0.915, 0.832, 0.789], [0.915, 0.083, 0.626], [0.874, 0.289, 0.457], [0.168, 0.083, 0.957], [0.626, 0.583, 0.915], [0.417, 0.043, 0.332], [0.289, 0.415, 0.832], [0.211, 0.543, 0.626], [0.917, 0.085, 0.874], [0.668, 0.211, 0.585], [0.457, 0.789, 0.874], [0.043, 0.417, 0.832], [0.415, 0.289, 0.332], [0.043, 0.626, 0.711], [0.668, 0.457, 0.583], [0.289, 0.874, 0.957]]
}